A plane-wave DFT calculation with PBE was carried out for a relaxed structure of In2CoSb2.

Lattice parameters (Å, degrees): 6.554 6.554 5.877 90.00 90.00 90.00
Atoms (fractional coordinates):
Sb  0.844  0.656  0.000
Sb  0.656  0.156  0.000
Sb  0.156  0.344  0.000
Sb  0.344  0.844  0.000
In  0.319  0.181  0.500
In  0.681  0.819  0.500
In  0.819  0.319  0.500
In  0.181  0.681  0.500
Co  0.500  0.500  0.000
Co  0.000  0.000  0.000

Summary:
Energy relative to the elements, uncorrected ... 0.13 eV per atom
V ... 252.4 Å³ per cell
Raw total energy ... -4.033 eV per atom
SG ... P4/mbm, No. 127